# 1
This record from Alexandria describes a relaxed CsNaPuI6 crystal. The functional is PBE.

It has space group P-31c (No. 163), with a = 8.1040 Å, b = 8.1040 Å, c = 17.2503 Å, α = 90.00°, β = 90.00° and γ = 120.00°. The asymmetric unit holds Cs at (0.0000, 0.0000, 0.0000), Na at (0.3333, 0.6667, 0.2500), Pu at (0.3333, 0.6667, 0.7500) and I at (0.0218, 0.3751, 0.6480).

The value obtained for the density of states at the Fermi level is 9.022 states/eV/f.u. The calculation puts the uncorrected formation energy at -1.11 eV per atom.



# 2
This record from Alexandria describes a relaxed CsNaPu2I8 crystal. The functional is PBE.

It has space group P-1 (No. 2), with a = 7.8160 Å, b = 8.0593 Å, c = 9.5931 Å, α = 89.92°, β = 89.91° and γ = 84.35°. The asymmetric unit holds Cs at (0.0000, 0.0000, 0.0000), Na at (0.0000, 0.0000, 0.5000), Pu at (0.5001, 0.5001, 0.2567), I at (0.2727, 0.3776, 0.5003), I at (0.2793, 0.3919, 0.0005), I at (0.2834, 0.8354, 0.7184) and I at (0.2838, 0.8357, 0.2812).

The value obtained for the density of states at the Fermi level is 26.584 states/eV/f.u. The calculation puts the uncorrected formation energy at -1.14 eV per atom.



# 3
This record from Alexandria describes a relaxed Cs3NaPu2I9 crystal. The functional is PBE.

It has space group P-3m1 (No. 164), with a = 8.8713 Å, b = 8.8713 Å, c = 10.9077 Å, α = 90.00°, β = 90.00° and γ = 120.00°. The asymmetric unit holds Cs at (0.0000, 0.0000, 0.0000), Cs at (0.3333, 0.6667, 0.6419), Na at (0.0000, 0.0000, 0.5000), Pu at (0.3333, 0.6667, 0.1715), I at (0.0000, 0.5000, 0.0000) and I at (0.1665, 0.3329, 0.3301).

The value obtained for the density of states at the Fermi level is 38.419 states/eV/f.u. The calculation puts the uncorrected formation energy at -1.31 eV per atom.



# 4
This record from Alexandria describes a relaxed CsNaPuI4 crystal. The functional is PBE.

It has space group P2_1/m (No. 11), with a = 8.6343 Å, b = 8.2963 Å, c = 9.7609 Å, α = 90.00°, β = 101.99° and γ = 90.00°. The asymmetric unit holds Cs at (0.1566, 0.2500, 0.0793), Na at (0.3911, 0.2500, 0.6701), Pu at (0.1450, 0.7500, 0.4574), I at (0.1198, 0.0016, 0.7083), I at (0.2669, 0.7500, 0.1623) and I at (0.4880, 0.2500, 0.3921).

The value obtained for the density of states at the Fermi level is 19.212 states/eV/f.u. The calculation puts the uncorrected formation energy at -1.18 eV per atom.



# 5
This record from Alexandria describes a relaxed CsRb2NaI crystal. The functional is PBE.

It has space group P4/mmm (No. 123), with a = 7.3819 Å, b = 7.3819 Å, c = 6.8130 Å, α = 90.00°, β = 90.00° and γ = 90.00°. The asymmetric unit holds Cs at (0.0000, 0.0000, 0.0000), Rb at (0.0000, 0.5000, 0.5000), Na at (0.5000, 0.5000, 0.0000) and I at (0.5000, 0.5000, 0.5000).

The value obtained for the density of states at the Fermi level is 3.057 states/eV/f.u. The calculation puts the uncorrected formation energy at -0.43 eV per atom. The calculation puts the energy relative to the lowest polymorph listed for this composition at 79 meV/atom.



# 6
This record from Alexandria describes a relaxed Cs3Rb2NaI6 crystal. The functional is PBE.

It has space group C2/m (No. 12), with a = 9.1896 Å, b = 15.9154 Å, c = 9.2113 Å, α = 90.00°, β = 109.58° and γ = 90.00°. The asymmetric unit holds Cs at (0.0000, 0.0000, 0.0000), Cs at (0.0000, 0.3283, 0.0000), Rb at (0.0000, 0.1656, 0.5000), Na at (0.0000, 0.5000, 0.5000), I at (0.2306, 0.3436, 0.7233) and I at (0.2357, 0.5000, 0.2731).

The value obtained for the density of states at the Fermi level is 0.000 states/eV/f.u. The calculation puts the uncorrected formation energy at -1.46 eV per atom.



# 7
This record from Alexandria describes a relaxed CsRbNaI crystal. The functional is PBE.

It has space group F-43m (No. 216), with a = 9.6773 Å, b = 9.6773 Å, c = 9.6773 Å, α = 90.00°, β = 90.00° and γ = 90.00°. The asymmetric unit holds Cs at (0.0000, 0.0000, 0.0000), Rb at (0.0000, 0.0000, 0.5000), Na at (0.2500, 0.2500, 0.2500) and I at (0.2500, 0.2500, 0.7500).

The calculation puts the uncorrected formation energy at -0.60 eV per atom.



# 8
This record from Alexandria describes a relaxed CsRb2NaI6 crystal. The functional is PBE.

It has space group Fm-3m (No. 225), with a = 13.3278 Å, b = 13.3278 Å, c = 13.3278 Å, α = 90.00°, β = 90.00° and γ = 90.00°. The asymmetric unit holds Cs at (0.0000, 0.0000, 0.0000), Rb at (0.2500, 0.2500, 0.2500), Na at (0.0000, 0.0000, 0.5000) and I at (0.0000, 0.0000, 0.2704).

The value obtained for the density of states at the Fermi level is 26.161 states/eV/f.u. The calculation puts the uncorrected formation energy at -0.86 eV per atom.



# 9
This record from Alexandria describes a relaxed CsRb2NaI crystal. The functional is PBE.

It has space group P4/mmm (No. 123), with a = 7.2009 Å, b = 7.2009 Å, c = 7.5388 Å, α = 90.00°, β = 90.00° and γ = 90.00°. The asymmetric unit holds Cs at (0.0000, 0.0000, 0.0000), Rb at (0.0000, 0.5000, 0.5000), Na at (0.5000, 0.5000, 0.0000) and I at (0.0000, 0.0000, 0.5000).

The value obtained for the density of states at the Fermi level is 3.372 states/eV/f.u. The calculation puts the uncorrected formation energy at -0.51 eV per atom. The calculation puts the energy relative to the lowest polymorph listed for this composition at 0 meV/atom.



# 10
This record from Alexandria describes a relaxed Cs2RbNaI4 crystal. The functional is PBE.

It has space group P2/m (No. 10), with a = 9.0712 Å, b = 5.2546 Å, c = 9.1422 Å, α = 90.00°, β = 109.17° and γ = 90.00°. The asymmetric unit holds Cs at (0.0000, 0.0000, 0.0000), Cs at (0.5000, 0.5000, 0.0000), Rb at (0.0000, 0.5000, 0.5000), Na at (0.5000, 0.0000, 0.5000), I at (0.2603, 0.0000, 0.7220) and I at (0.2748, 0.5000, 0.2833).

The value obtained for the density of states at the Fermi level is 0.000 states/eV/f.u. The calculation puts the uncorrected formation energy at -1.43 eV per atom.



# 11
This record from Alexandria describes a relaxed Cs2NaRhI6 crystal. The functional is PBE.

It has space group Fm-3m (No. 225), with a = 11.8258 Å, b = 11.8258 Å, c = 11.8258 Å, α = 90.00°, β = 90.00° and γ = 90.00°. The asymmetric unit holds Cs at (0.2500, 0.2500, 0.2500), Na at (0.0000, 0.0000, 0.0000), Rh at (0.0000, 0.0000, 0.5000) and I at (0.0000, 0.0000, 0.2702).

The value obtained for the density of states at the Fermi level is 0.000 states/eV/f.u. The calculation puts the uncorrected formation energy at -0.92 eV per atom.



# 12
This record from Alexandria describes a relaxed Cs2NaRuI6 crystal. The functional is PBE.

It has space group Fm-3m (No. 225), with a = 11.8458 Å, b = 11.8458 Å, c = 11.8458 Å, α = 90.00°, β = 90.00° and γ = 90.00°. The asymmetric unit holds Cs at (0.2500, 0.2500, 0.2500), Na at (0.0000, 0.0000, 0.0000), Ru at (0.0000, 0.0000, 0.5000) and I at (0.0000, 0.0000, 0.2693).

The value obtained for the density of states at the Fermi level is 9.523 states/eV/f.u. The calculation puts the uncorrected formation energy at -0.83 eV per atom.



| no. | total magnetization (μB per cell) |
| --- | --- |
| 1 | 8.00 |
| 2 | 10.00 |
| 3 | 11.00 |
| 4 | 12.00 |
| 5 | 0.00 |
| 6 | 0.00 |
| 7 | 0.00 |
| 8 | 8.00 |
| 9 | 0.00 |
| 10 | 0.00 |
| 11 | 0.00 |
| 12 | 4.00 |